Here is an optimized crystal structure of Mg5Zn2Ga from Alexandria. Energies are from GGA-PBE.

The structure in CIF format:
```
data_Mg5Zn2Ga
_cell_length_a 4.6595
_cell_length_b 4.6595
_cell_length_c 17.6270
_cell_angle_alpha 90.00
_cell_angle_beta 90.00
_cell_angle_gamma 120.00
_space_group_name_H-M_alt 'P 63/m m c'
_space_group_IT_number 194
_space_group_name_Hall '-P 6c 2c'
loop_
_atom_site_label
_atom_site_fract_x
_atom_site_fract_y
_atom_site_fract_z
_atom_site_occupancy
Mg1 0.0000 0.0000 0.1525 1
Mg2 0.3333 0.6667 0.0484 1
Mg3 0.3333 0.6667 0.2500 1
Zn1 0.3333 0.6667 0.6062 1
Ga1 0.3333 0.6667 0.7500 1
```

Output
Electronic total energy, eV per atom: -1.712
M_tot, μB/f.u.: 0.00
Density of states at the Fermi level, states/eV per atom: 0.58

=====

Here is an optimized crystal structure of Nb2AgIr from Alexandria. Energies are from GGA-PBE.

The structure in CIF format:
```
data_Nb2AgIr
_cell_length_a 7.435
_cell_length_b 7.435
_cell_length_c 5.485
_cell_angle_alpha 90.00
_cell_angle_beta 90.00
_cell_angle_gamma 90.00
_space_group_name_H-M_alt 'I -4 2 d'
_space_group_IT_number 122
_space_group_name_Hall 'I -4 2bw'
loop_
_atom_site_label
_atom_site_fract_x
_atom_site_fract_y
_atom_site_fract_z
_atom_site_occupancy
Nb1 0.213 0.250 0.125 1
Ag1 0.000 0.000 0.500 1
Ir1 0.000 0.000 0.000 1
```

Output
Electronic total energy, eV per atom: -7.634
M_tot, μB/f.u.: 0.00
Density of states at the Fermi level, states/eV per atom: 0.96

=====

Here is an optimized crystal structure of BPRhAu from Alexandria. Energies are from GGA-PBE.

The structure in CIF format:
```
data_BPRhAu
_cell_length_a 7.443
_cell_length_b 3.001
_cell_length_c 6.388
_cell_angle_alpha 90.00
_cell_angle_beta 115.81
_cell_angle_gamma 90.00
_space_group_name_H-M_alt 'C 1 m 1'
_space_group_IT_number 8
_space_group_name_Hall 'C -2y'
loop_
_atom_site_label
_atom_site_fract_x
_atom_site_fract_y
_atom_site_fract_z
_atom_site_occupancy
B1 0.000 0.000 0.000 1
P1 0.167 0.500 0.214 1
Rh1 0.289 0.000 0.009 1
Au1 0.313 0.500 0.626 1
```

Output
Offset from the most stable computed form, meV/atom: 14
M_tot, μB/f.u.: 0.00
Density of states at the Fermi level, states/eV per atom: 0.24

=====

Here is an optimized crystal structure of Tl2OsCl from Alexandria. Energies are from GGA-PBE.

The structure in CIF format:
```
data_Tl2OsCl
_cell_length_a 7.472
_cell_length_b 7.460
_cell_length_c 3.051
_cell_angle_alpha 90.00
_cell_angle_beta 94.40
_cell_angle_gamma 90.00
_space_group_name_H-M_alt 'C 1 2/m 1'
_space_group_IT_number 12
_space_group_name_Hall '-C 2y'
loop_
_atom_site_label
_atom_site_fract_x
_atom_site_fract_y
_atom_site_fract_z
_atom_site_occupancy
Tl1 0.250 0.250 0.000 1
Os1 0.000 0.000 0.500 1
Cl1 0.000 0.500 0.500 1
```

Output
Offset from the most stable computed form, meV/atom: 48
Formation energy from raw total energies, eV/atom: 0.52
M_tot, μB/f.u.: 0.89
Density of states at the Fermi level, states/eV per atom: 0.62

=====

Here is an optimized crystal structure of LaPmZnHg from Alexandria. Energies are from GGA-PBE.

The structure in CIF format:
```
data_LaPmZnHg
_cell_length_a 7.598
_cell_length_b 7.598
_cell_length_c 7.598
_cell_angle_alpha 90.00
_cell_angle_beta 90.00
_cell_angle_gamma 90.00
_space_group_name_H-M_alt 'F -4 3 m'
_space_group_IT_number 216
_space_group_name_Hall 'F -4 2 3'
loop_
_atom_site_label
_atom_site_fract_x
_atom_site_fract_y
_atom_site_fract_z
_atom_site_occupancy
La1 0.000 0.000 0.000 1
Pm1 0.000 0.000 0.500 1
Zn1 0.250 0.250 0.250 1
Hg1 0.250 0.250 0.750 1
```

Output
Offset from the most stable computed form, meV/atom: 27
M_tot, μB/f.u.: 0.73
Density of states at the Fermi level, states/eV per atom: 1.13

=====

Here is an optimized crystal structure of SnTe2Pd2 from Alexandria. Energies are from GGA-PBE.

The structure in CIF format:
```
data_SnTe2Pd2
_cell_length_a 7.816
_cell_length_b 7.816
_cell_length_c 3.648
_cell_angle_alpha 90.00
_cell_angle_beta 90.00
_cell_angle_gamma 90.00
_space_group_name_H-M_alt 'P 4/m b m'
_space_group_IT_number 127
_space_group_name_Hall '-P 4 2ab'
loop_
_atom_site_label
_atom_site_fract_x
_atom_site_fract_y
_atom_site_fract_z
_atom_site_occupancy
Sn1 0.000 0.000 0.000 1
Te1 0.167 0.333 0.500 1
Pd1 0.131 0.631 0.000 1
```

Output
Offset from the most stable computed form, meV/atom: 129
Formation energy from raw total energies, eV/atom: -0.15
M_tot, μB/f.u.: 0.00
Density of states at the Fermi level, states/eV per atom: 0.56

=====

Here is an optimized crystal structure of Ba4LiIr from Alexandria. Energies are from GGA-PBE.

The structure in CIF format:
```
data_Ba4LiIr
_cell_length_a 18.598
_cell_length_b 7.639
_cell_length_c 8.496
_cell_angle_alpha 90.00
_cell_angle_beta 106.45
_cell_angle_gamma 90.00
_space_group_name_H-M_alt 'C 1 2/c 1'
_space_group_IT_number 15
_space_group_name_Hall '-C 2yc'
loop_
_atom_site_label
_atom_site_fract_x
_atom_site_fract_y
_atom_site_fract_z
_atom_site_occupancy
Ba1 0.098 0.105 0.466 1
Ba2 0.191 0.420 0.151 1
Li1 0.000 0.396 0.750 1
Ir1 0.250 0.250 0.500 1
```

Output
Offset from the most stable computed form, meV/atom: 0
M_tot, μB/f.u.: 0.00
Density of states at the Fermi level, states/eV per atom: 0.87

=====

Here is an optimized crystal structure of Sm2Er5Tm3 from Alexandria. Energies are from GGA-PBE.

The structure in CIF format:
```
data_Sm2Er5Tm3
_cell_length_a 9.290
_cell_length_b 21.625
_cell_length_c 6.685
_cell_angle_alpha 90.00
_cell_angle_beta 90.00
_cell_angle_gamma 90.00
_space_group_name_H-M_alt 'I b a m'
_space_group_IT_number 72
_space_group_name_Hall '-I 2 2c'
loop_
_atom_site_label
_atom_site_fract_x
_atom_site_fract_y
_atom_site_fract_z
_atom_site_occupancy
Sm1 0.100 0.125 0.000 1
Er1 0.000 0.251 0.250 1
Er2 0.000 0.500 0.250 1
Er3 0.088 0.376 0.500 1
Tm1 0.000 0.000 0.250 1
Tm2 0.250 0.125 0.500 1
```

Output
Offset from the most stable computed form, meV/atom: 211
M_tot, μB/f.u.: 0.00
Density of states at the Fermi level, states/eV per atom: 1.62

=====

Here is an optimized crystal structure of Mn3HSe from Alexandria. Energies are from GGA-PBE.

The structure in CIF format:
```
data_Mn3HSe
_cell_length_a 3.803
_cell_length_b 3.803
_cell_length_c 3.803
_cell_angle_alpha 90.00
_cell_angle_beta 90.00
_cell_angle_gamma 90.00
_space_group_name_H-M_alt 'P m -3 m'
_space_group_IT_number 221
_space_group_name_Hall '-P 4 2 3'
loop_
_atom_site_label
_atom_site_fract_x
_atom_site_fract_y
_atom_site_fract_z
_atom_site_occupancy
Mn1 0.000 0.000 0.500 1
H1 0.000 0.000 0.000 1
Se1 0.500 0.500 0.500 1
```

Output
Offset from the most stable computed form, meV/atom: 0
M_tot, μB/f.u.: 8.00
Density of states at the Fermi level, states/eV per atom: 1.42

=====

Here is an optimized crystal structure of KSi from Alexandria. Energies are from GGA-PBE.

The structure in CIF format:
```
data_KSi
_cell_length_a 12.850
_cell_length_b 12.850
_cell_length_c 3.926
_cell_angle_alpha 90.00
_cell_angle_beta 90.00
_cell_angle_gamma 90.00
_space_group_name_H-M_alt 'I 4/m m m'
_space_group_IT_number 139
_space_group_name_Hall '-I 4 2'
loop_
_atom_site_label
_atom_site_fract_x
_atom_site_fract_y
_atom_site_fract_z
_atom_site_occupancy
K1 0.000 0.230 0.000 1
Si1 0.215 0.215 0.500 1
```

Output
Offset from the most stable computed form, meV/atom: 150
Formation energy from raw total energies, eV/atom: 0.08
M_tot, μB/f.u.: 0.00
Density of states at the Fermi level, states/eV per atom: 0.72

=====

Here is an optimized crystal structure of YCoTc3 from Alexandria. Energies are from GGA-PBE.

The structure in CIF format:
```
data_YCoTc3
_cell_length_a 4.701
_cell_length_b 4.701
_cell_length_c 4.701
_cell_angle_alpha 90.00
_cell_angle_beta 90.00
_cell_angle_gamma 90.00
_space_group_name_H-M_alt 'P m -3 m'
_space_group_IT_number 221
_space_group_name_Hall '-P 4 2 3'
loop_
_atom_site_label
_atom_site_fract_x
_atom_site_fract_y
_atom_site_fract_z
_atom_site_occupancy
Y1 0.000 0.000 0.000 1
Co1 0.500 0.500 0.500 1
Tc1 0.000 0.000 0.500 1
```

Output
Offset from the most stable computed form, meV/atom: 1986
M_tot, μB/f.u.: 0.00
Density of states at the Fermi level, states/eV per atom: 1.86

=====

Which of these has the highest density of states at the Fermi level? YCoTc3